(1)
DFT (PBE-GGA) results for CaBr4 after structural relaxation.

a b c (Å): 5.704 5.704 5.704
angles (deg): 90.00 90.00 90.00
Space group Pm-3m (No. 221)
Unique sites:
1 Ca 0.000 0.000 0.000 (multiplicity 1)
2 Br 0.000 0.000 0.500 (multiplicity 3)
3 Br 0.500 0.500 0.500 (multiplicity 1)

E_form (uncorrected) = -0.795 eV/atom
N(E_F) = 7.407 states/eV per cell
total moment = 2.053 μB/f.u.
ρ = 3.22 Mg/m³


(2)
DFT (PBE-GGA) results for Ca5Br after structural relaxation.

a b c (Å): 10.192 10.192 10.192
angles (deg): 90.00 90.00 90.00
Space group F-43m (No. 216)
Unique sites:
1 Ca 0.000 0.000 0.000 (multiplicity 4)
2 Ca 0.126 0.126 0.626 (multiplicity 16)
3 Br 0.250 0.250 0.250 (multiplicity 4)

E_form (uncorrected) = -0.006 eV/atom
N(E_F) = 16.589 states/eV per cell
total moment = 0.000 μB/f.u.
ρ = 1.76 Mg/m³
energy relative to the lowest polymorph listed for this composition = 386 meV per atom


(3)
DFT (PBE-GGA) results for CaBr5 after structural relaxation.

a b c (Å): 3.666 3.666 14.440
angles (deg): 90.00 90.00 90.00
Space group P4/mmm (No. 123)
Unique sites:
1 Ca 0.000 0.000 0.000 (multiplicity 1)
2 Br 0.000 0.000 0.376 (multiplicity 2)
3 Br 0.500 0.500 0.117 (multiplicity 2)
4 Br 0.500 0.500 0.500 (multiplicity 1)

E_form (uncorrected) = -0.557 eV/atom
N(E_F) = 4.807 states/eV per cell
total moment = 0.001 μB/f.u.
ρ = 3.76 Mg/m³
energy relative to the lowest polymorph listed for this composition = 180 meV per atom


(4)
DFT (PBE-GGA) results for CaBr5 after structural relaxation.

a b c (Å): 4.097 13.055 8.088
angles (deg): 90.00 90.00 90.00
Space group Cmmm (No. 65)
Unique sites:
1 Ca 0.000 0.000 0.000 (multiplicity 2)
2 Br 0.000 0.168 0.500 (multiplicity 4)
3 Br 0.000 0.358 0.000 (multiplicity 4)
4 Br 0.000 0.500 0.500 (multiplicity 2)

E_form (uncorrected) = -0.737 eV/atom
N(E_F) = 7.014 states/eV per cell
total moment = 0.000 μB/f.u.
ρ = 3.38 Mg/m³
energy relative to the lowest polymorph listed for this composition = 0 meV per atom


(5)
DFT (PBE-GGA) results for Ca3Br5 after structural relaxation.

a b c (Å): 11.241 11.241 7.515
angles (deg): 90.00 90.00 90.00
Space group I4cm (No. 108)
Unique sites:
1 Ca 0.000 0.000 0.000 (multiplicity 4)
2 Ca 0.152 0.348 0.251 (multiplicity 8)
3 Br 0.000 0.500 0.001 (multiplicity 4)
4 Br 0.077 0.204 0.750 (multiplicity 16)

E_form (uncorrected) = -1.699 eV/atom
N(E_F) = 15.435 states/eV per cell
total moment = 0.196 μB/f.u.
ρ = 3.64 Mg/m³
energy relative to the lowest polymorph listed for this composition = 0 meV per atom


(6)
DFT (PBE-GGA) results for CaBr3 after structural relaxation.

a b c (Å): 4.1673 4.1673 34.3064
angles (deg): 90.00 90.00 120.00
Space group R-3m (No. 166, hexagonal axes)
Unique sites:
1 Ca 0.0000 0.0000 0.0000 (multiplicity 3)
2 Br 0.0000 0.0000 0.3805 (multiplicity 6)
3 Br 0.0000 0.0000 0.5000 (multiplicity 3)

E_form (uncorrected) = -1.245 eV/atom
N(E_F) = 16.530 states/eV per cell
total moment = 1.000 μB/f.u.
ρ = 2.70 Mg/m³


(7)
DFT (PBE-GGA) results for CaBr5 after structural relaxation.

a b c (Å): 5.3844 5.3844 7.1909
angles (deg): 90.00 90.00 120.00
Space group P-62m (No. 189)
Unique sites:
1 Ca 0.0000 0.0000 0.0000 (multiplicity 1)
2 Br 0.0000 0.6740 0.5000 (multiplicity 3)
3 Br 0.3333 0.6667 0.0000 (multiplicity 2)

E_form (uncorrected) = -0.567 eV/atom
N(E_F) = 4.742 states/eV per cell
total moment = 0.000 μB/f.u.
ρ = 4.04 Mg/m³
energy relative to the lowest polymorph listed for this composition = 170 meV per atom


(8)
DFT (PBE-GGA) results for Ca5Br after structural relaxation.

a b c (Å): 3.752 3.752 16.022
angles (deg): 90.00 90.00 90.00
Space group P4/mmm (No. 123)
Unique sites:
1 Ca 0.000 0.000 0.000 (multiplicity 1)
2 Ca 0.000 0.000 0.361 (multiplicity 2)
3 Ca 0.500 0.500 0.183 (multiplicity 2)
4 Br 0.500 0.500 0.500 (multiplicity 1)

E_form (uncorrected) = -0.392 eV/atom
N(E_F) = 4.853 states/eV per cell
total moment = 0.000 μB/f.u.
ρ = 2.06 Mg/m³
energy relative to the lowest polymorph listed for this composition = 0 meV per atom


(9)
DFT (PBE-GGA) results for Ca3Br5 after structural relaxation.

a b c (Å): 8.770 12.605 4.429
angles (deg): 90.00 90.00 90.00
Space group Cmmm (No. 65)
Unique sites:
1 Ca 0.000 0.000 0.000 (multiplicity 2)
2 Ca 0.000 0.343 0.500 (multiplicity 4)
3 Br 0.000 0.500 0.000 (multiplicity 2)
4 Br 0.205 0.000 0.500 (multiplicity 4)
5 Br 0.250 0.250 0.000 (multiplicity 4)

E_form (uncorrected) = -1.633 eV/atom
N(E_F) = 6.588 states/eV per cell
total moment = 0.376 μB/f.u.
ρ = 3.53 Mg/m³
energy relative to the lowest polymorph listed for this composition = 65 meV per atom


(10)
DFT (PBE-GGA) results for CaBr4 after structural relaxation.

a b c (Å): 6.385 6.385 8.888
angles (deg): 90.00 90.00 90.00
Space group I4/mmm (No. 139)
Unique sites:
1 Ca 0.000 0.000 0.000 (multiplicity 2)
2 Br 0.000 0.000 0.304 (multiplicity 4)
3 Br 0.000 0.500 0.250 (multiplicity 4)

E_form (uncorrected) = -0.653 eV/atom
N(E_F) = 10.292 states/eV per cell
total moment = 0.000 μB/f.u.
ρ = 3.30 Mg/m³


(11)
DFT (PBE-GGA) results for Ca2CdBr after structural relaxation.

a b c (Å): 4.0262 4.0262 26.4550
angles (deg): 90.00 90.00 120.00
Space group R3m (No. 160, hexagonal axes)
Unique sites:
1 Ca 0.0000 0.0000 0.0000 (multiplicity 3)
2 Ca 0.0000 0.0000 0.1695 (multiplicity 3)
3 Cd 0.0000 0.0000 0.5849 (multiplicity 3)
4 Br 0.0000 0.0000 0.4151 (multiplicity 3)

E_form (uncorrected) = -0.791 eV/atom
N(E_F) = 8.360 states/eV per cell
total moment = 0.001 μB/f.u.
ρ = 3.65 Mg/m³
energy relative to the lowest polymorph listed for this composition = 49 meV per atom


(12)
DFT (PBE-GGA) results for Ca2CdBr after structural relaxation.

a b c (Å): 8.135 8.135 8.135
angles (deg): 90.00 90.00 90.00
Space group F-43m (No. 216)
Unique sites:
1 Ca 0.000 0.000 0.000 (multiplicity 4)
2 Ca 0.250 0.250 0.250 (multiplicity 4)
3 Cd 0.000 0.000 0.500 (multiplicity 4)
4 Br 0.250 0.250 0.750 (multiplicity 4)

E_form (uncorrected) = -0.204 eV/atom
N(E_F) = 14.107 states/eV per cell
total moment = 0.000 μB/f.u.
ρ = 3.36 Mg/m³
energy relative to the lowest polymorph listed for this composition = 637 meV per atom